[1]
A relaxed structure of Be4SbSe, computed with PBEsol.

formation energy from raw total energies	0.55	eV per atom
total moment	0.00	μB/cell
energy	-21.078	eV per formula unit

a b c (Å): 6.8499 6.8499 6.8499
angles (deg): 90.00 90.00 90.00
Space group F-43m (No. 216)
Asymmetric unit:
Be1 0.1242 0.1242 0.1242 x16
Sb1 0.2500 0.2500 0.7500 x4
Se1 0.0000 0.0000 0.5000 x4


[2]
A relaxed structure of RbCoSCl2, computed with PBEsol.

formation energy from raw total energies	-0.76	eV per atom
total moment	2.60	μB/cell
energy	-20.953	eV per formula unit

a b c (Å): 4.9894 4.9894 4.3123
angles (deg): 90.00 90.00 90.00
Space group P4/mmm (No. 123)
Asymmetric unit:
Rb1 0.0000 0.0000 0.0000 x1
Co1 0.5000 0.5000 0.5000 x1
S1 0.5000 0.5000 0.0000 x1
Cl1 0.0000 0.5000 0.5000 x2


[3]
A relaxed structure of GaSeN2F, computed with PBEsol.

formation energy from raw total energies	0.72	eV per atom
total moment	0.00	μB/cell
energy	-22.573	eV per formula unit

a b c (Å): 3.7655 3.7655 4.4605
angles (deg): 90.00 90.00 90.00
Space group P4/mmm (No. 123)
Asymmetric unit:
Ga1 0.0000 0.0000 0.0000 x1
Se1 0.5000 0.5000 0.5000 x1
N1 0.0000 0.5000 0.5000 x2
F1 0.5000 0.5000 0.0000 x1


[4]
A relaxed structure of Sr2WAu, computed with PBEsol.

total moment	12.39	μB/cell
energy	-18.045	eV per formula unit
energy relative to the elements	0.842	eV/atom

a b c (Å): 7.5067 7.5067 7.5067
angles (deg): 90.00 90.00 90.00
Space group Fm-3m (No. 225)
Asymmetric unit:
Sr1 0.2500 0.2500 0.2500 x8
W1 0.0000 0.0000 0.0000 x4
Au1 0.0000 0.0000 0.5000 x4


[5]
A relaxed structure of YSiTe2I, computed with PBEsol.

formation energy from raw total energies	0.14	eV per atom
total moment	0.30	μB/cell
energy	-20.678	eV per formula unit

a b c (Å): 5.8039 5.8039 5.6633
angles (deg): 90.00 90.00 90.00
Space group P4/mmm (No. 123)
Asymmetric unit:
Y1 0.0000 0.0000 0.0000 x1
Si1 0.5000 0.5000 0.5000 x1
Te1 0.0000 0.5000 0.0000 x2
I1 0.0000 0.0000 0.5000 x1


[6]
A relaxed structure of Li12Cd17, computed with PBEsol.

total moment	0.00	μB/cell
energy	-49.036	eV per formula unit
energy relative to the elements	-0.175	eV/atom

a b c (Å): 10.1464 10.1464 10.1464
angles (deg): 90.00 90.00 90.00
Space group I-43m (No. 217)
Asymmetric unit:
Li1 0.0898 0.0898 0.7199 x24
Cd1 0.0000 0.0000 0.0000 x2
Cd2 0.0445 0.3588 0.6412 x24
Cd3 0.1751 0.1751 0.1751 x8


[7]
A relaxed structure of BaAgAs2Br, computed with PBEsol.

formation energy from raw total energies	-0.31	eV per atom
total moment	0.07	μB/cell
energy	-19.091	eV per formula unit

a b c (Å): 4.8969 4.8969 5.8478
angles (deg): 90.00 90.00 90.00
Space group P4/mmm (No. 123)
Asymmetric unit:
Ba1 0.0000 0.0000 0.0000 x1
Ag1 0.5000 0.5000 0.5000 x1
As1 0.0000 0.5000 0.5000 x2
Br1 0.5000 0.5000 0.0000 x1


[8]
A relaxed structure of RbCrAs2Br, computed with PBEsol.

formation energy from raw total energies	1.56	eV per atom
total moment	2.41	μB/cell
energy	-15.554	eV per formula unit

a b c (Å): 5.6167 5.6167 5.8293
angles (deg): 90.00 90.00 90.00
Space group P4/mmm (No. 123)
Asymmetric unit:
Rb1 0.0000 0.0000 0.0000 x1
Cr1 0.5000 0.5000 0.5000 x1
As1 0.0000 0.5000 0.0000 x2
Br1 0.0000 0.0000 0.5000 x1


[9]
A relaxed structure of Sb2PdSe, computed with PBEsol.

formation energy from raw total energies	-0.01	eV per atom
total moment	0.00	μB/cell
energy	-18.963	eV per formula unit

a b c (Å): 6.0945 6.0945 12.4737
angles (deg): 90.00 90.00 90.00
Space group I-42d (No. 122)
Asymmetric unit:
Sb1 0.2104 0.2500 0.1250 x8
Pd1 0.0000 0.0000 0.0000 x4
Se1 0.0000 0.0000 0.5000 x4


[10]
A relaxed structure of Cd3Hg5, computed with PBEsol.

total moment	0.00	μB/cell
energy	-6.291	eV per formula unit
energy relative to the elements	0.017	eV/atom

a b c (Å): 11.2874 11.2874 5.6591
angles (deg): 90.00 90.00 90.00
Space group I4/mcm (No. 140)
Asymmetric unit:
Cd1 0.0000 0.0000 0.2500 x4
Cd2 0.1742 0.3258 0.0000 x8
Hg1 0.0000 0.5000 0.2500 x4
Hg2 0.0719 0.2322 0.5000 x16


[11]
A relaxed structure of CaCuN2O, computed with PBEsol.

formation energy from raw total energies	0.13	eV per atom
total moment	2.28	μB/cell
energy	-28.109	eV per formula unit

a b c (Å): 3.7048 3.7048 4.0648
angles (deg): 90.00 90.00 90.00
Space group P4/mmm (No. 123)
Asymmetric unit:
Ca1 0.0000 0.0000 0.0000 x1
Cu1 0.5000 0.5000 0.5000 x1
N1 0.0000 0.5000 0.5000 x2
O1 0.5000 0.5000 0.0000 x1


[12]
A relaxed structure of Ti2MnGe2, computed with PBEsol.

total moment	2.74	μB/cell
energy	-38.924	eV per formula unit
energy relative to the elements	-0.528	eV/atom

a b c (Å): 6.2868 6.2868 3.7012
angles (deg): 90.00 90.00 90.00
Space group P4/mbm (No. 127)
Asymmetric unit:
Ti1 0.1671 0.3329 0.0000 x4
Mn1 0.0000 0.0000 0.5000 x2
Ge1 0.1404 0.6404 0.5000 x4


- Number 9 is which compound?
  Sb2PdSe


- What is the energy in the third record?
  -22.573 eV per formula unit


- The highest energy belongs to which entry?
  Cd3Hg5